1.
MnTcRu2 | PBE | relaxed

Structure (CIF):
```
data_MnTcRu2
_chemical_formula_sum 'Mn1 Tc1 Ru2'
_space_group_name_H-M_alt 'P 4/m m m'
_space_group_IT_number 123
_space_group_name_Hall '-P 4 2'
_cell_length_a 2.6827
_cell_length_b 2.6827
_cell_length_c 7.4917
_cell_angle_alpha 90.00
_cell_angle_beta 90.00
_cell_angle_gamma 90.00
loop_
_atom_site_label
_atom_site_fract_x
_atom_site_fract_y
_atom_site_fract_z
Mn1 0.0000 0.0000 0.0000
Tc1 0.0000 0.0000 0.5000
Ru1 0.5000 0.5000 0.2378
```

- Offset from the most stable computed form: 4 kJ/mol of formula units
- Crystal system: tetragonal

***

2.
CsGa2Te4 | PBE | relaxed

Structure (CIF):
```
data_CsGa2Te4
_chemical_formula_sum 'Cs2 Ga4 Te8'
_space_group_name_H-M_alt 'P 1'
_space_group_IT_number 1
_cell_length_a 8.0952
_cell_length_b 8.1277
_cell_length_c 11.2796
_cell_angle_alpha 97.50
_cell_angle_beta 97.82
_cell_angle_gamma 103.73
loop_
_space_group_symop_operation_xyz
'x,y,z'
loop_
_atom_site_label
_atom_site_fract_x
_atom_site_fract_y
_atom_site_fract_z
Cs1 0.0000 0.0000 0.0000
Cs2 0.0653 0.9471 0.5036
Ga1 0.1334 0.3944 0.7836
Ga2 0.4495 0.4795 0.2287
Ga3 0.5199 0.5594 0.7759
Ga4 0.6144 0.8653 0.2225
Te1 0.2772 0.7166 0.7850
Te2 0.2913 0.7214 0.2211
Te3 0.3602 0.1923 0.2925
Te4 0.3880 0.2531 0.8200
Te5 0.7585 0.6133 0.1885
Te6 0.7675 0.1777 0.2795
Te7 0.8036 0.6454 0.7060
Te8 0.8208 0.2396 0.7215
```

- E_form (uncorrected): -0.3274 eV/atom
- Crystal system: triclinic

***

3.
FeReP2Cl | PBE | relaxed

Structure (CIF):
```
data_FeReP2Cl
_chemical_formula_sum 'Fe1 Re1 P2 Cl1'
_space_group_name_H-M_alt 'P 4/m m m'
_space_group_IT_number 123
_space_group_name_Hall '-P 4 2'
_cell_length_a 4.5381
_cell_length_b 4.5381
_cell_length_c 5.1817
_cell_angle_alpha 90.00
_cell_angle_beta 90.00
_cell_angle_gamma 90.00
loop_
_atom_site_label
_atom_site_fract_x
_atom_site_fract_y
_atom_site_fract_z
Fe1 0.0000 0.0000 0.0000
Re1 0.5000 0.5000 0.5000
P1 0.0000 0.5000 0.5000
Cl1 0.5000 0.5000 0.0000
```

- Offset from the most stable computed form: 0 kJ/mol of formula units
- E_form (uncorrected): 0.8572 eV/atom
- Crystal system: tetragonal

***

4.
Nb2ZnPd | PBE | relaxed

Structure (CIF):
```
data_Nb2ZnPd
_chemical_formula_sum 'Nb6 Zn3 Pd3'
_space_group_name_H-M_alt 'R -3 m'
_space_group_IT_number 166
_space_group_name_Hall '-R 3 2"'
_cell_length_a 2.8227
_cell_length_b 2.8227
_cell_length_c 30.2085
_cell_angle_alpha 90.00
_cell_angle_beta 90.00
_cell_angle_gamma 120.00
loop_
_atom_site_label
_atom_site_fract_x
_atom_site_fract_y
_atom_site_fract_z
Nb1 0.0000 0.0000 0.0869
Zn1 0.0000 0.0000 0.5000
Pd1 0.0000 0.0000 0.0000
```

- Raw total energy: -6.415 eV per atom
- Crystal system: trigonal